(1)
This record from Alexandria via LeMat-Bulk describes LiDy4Tl3 after structural relaxation. The functional is PBE-GGA.

Cell: 8.671 8.671 8.671 Å, 145.03 145.03 50.29°
Sites, in units of the cell vectors:
Li 0.000 0.000 0.000
Dy 0.125 0.625 0.500
Dy 0.375 0.875 0.500
Dy 0.625 0.125 0.500
Dy 0.875 0.375 0.500
Tl 0.246 0.246 0.000
Tl 0.500 0.500 0.000
Tl 0.754 0.754 0.000

Values from the calculation:
total energy = -29.639 eV per formula unit
energy of formation = -0.28 eV per atom
DOS(E_F) = 0.755 states/eV/atom

(2)
This record from Alexandria via LeMat-Bulk describes PmSiRh2 after structural relaxation. The functional is PBE-GGA.

Cell: 3.994 3.994 9.419 Å, 90.00 90.00 90.00°
Sites, in units of the cell vectors:
Pm 0.250 0.250 0.205
Pm 0.750 0.750 0.795
Si 0.250 0.250 0.641
Si 0.750 0.750 0.359
Rh 0.250 0.250 0.889
Rh 0.250 0.750 0.500
Rh 0.750 0.250 0.500
Rh 0.750 0.750 0.111

Values from the calculation:
total energy = -28.334 eV per formula unit
formation energy (no corrections) = -0.864 eV/atom
DOS(E_F) = 0.772 states/eV/atom

(3)
This record from Alexandria via LeMat-Bulk describes CaV3Co after structural relaxation. The functional is PBE-GGA.

Cell: 4.514 4.514 4.514 Å, 90.00 90.00 90.00°
Sites, in units of the cell vectors:
Ca 0.000 0.000 0.000
V 0.000 0.500 0.500
V 0.500 0.000 0.500
V 0.500 0.500 0.000
Co 0.500 0.500 0.500

Values from the calculation:
total energy = -32.973 eV per formula unit
energy of formation = 0.70 eV per atom
DOS(E_F) = 1.459 states/eV/atom

(4)
This record from Alexandria via LeMat-Bulk describes SrOsRu2 after structural relaxation. The functional is PBE-GGA.

Cell: 4.277 6.295 6.295 Å, 26.33 90.00 90.00°
Sites, in units of the cell vectors:
Sr 0.000 0.000 0.000
Os 0.500 0.674 0.674
Ru 0.000 0.246 0.246
Ru 0.500 0.351 0.351

Values from the calculation:
total energy = -28.833 eV per formula unit
energy of formation = 0.66 eV per atom
DOS(E_F) = 1.479 states/eV/atom

(5)
This record from Alexandria via LeMat-Bulk describes PmMgSi after structural relaxation. The functional is PBE-GGA.

Cell: 4.441 4.441 4.143 Å, 90.00 90.00 120.00°
Sites, in units of the cell vectors:
Pm 0.000 0.000 0.000
Mg 0.667 0.333 0.500
Si 0.333 0.667 0.500

Values from the calculation:
total energy = -12.990 eV per formula unit
formation energy (no corrections) = -0.407 eV/atom
DOS(E_F) = 0.777 states/eV/atom

(6)
This record from Alexandria via LeMat-Bulk describes Y2FeI after structural relaxation. The functional is PBE-GGA.

Cell: 5.138 5.138 5.138 Å, 60.00 60.00 60.00°
Sites, in units of the cell vectors:
Y 0.250 0.250 0.250
Y 0.750 0.750 0.750
Fe 0.000 0.000 0.000
I 0.500 0.500 0.500

Values from the calculation:
total energy = -22.046 eV per formula unit
formation energy (no corrections) = 0.224 eV/atom
DOS(E_F) = 1.453 states/eV/atom

(7)
This record from Alexandria via LeMat-Bulk describes Pm2Al3ZnIr4 after structural relaxation. The functional is PBE-GGA.

Cell: 4.263 4.263 10.226 Å, 90.00 90.00 90.00°
Sites, in units of the cell vectors:
Pm 0.000 0.500 0.242
Pm 0.500 0.000 0.758
Al 0.000 0.500 0.878
Al 0.500 0.000 0.122
Al 0.500 0.500 0.500
Zn 0.000 0.000 0.500
Ir 0.000 0.000 0.000
Ir 0.000 0.500 0.636
Ir 0.500 0.000 0.364
Ir 0.500 0.500 0.000

Values from the calculation:
total energy = -65.320 eV per formula unit
energy of formation = -0.79 eV per atom
DOS(E_F) = 0.608 states/eV/atom

(8)
This record from Alexandria via LeMat-Bulk describes Tb2Er5Sc2 after structural relaxation. The functional is PBE-GGA.

Cell: 5.954 6.132 8.193 Å, 71.83 71.66 84.18°
Sites, in units of the cell vectors:
Tb 0.093 0.285 0.379
Tb 0.907 0.715 0.621
Er 0.251 0.831 0.170
Er 0.321 0.924 0.732
Er 0.500 0.500 0.500
Er 0.679 0.076 0.268
Er 0.749 0.169 0.830
Sc 0.203 0.356 0.936
Sc 0.797 0.644 0.064

Values from the calculation:
total energy = -43.781 eV per formula unit
energy of formation = 0.11 eV per atom
DOS(E_F) = 1.753 states/eV/atom

(9)
This record from Alexandria via LeMat-Bulk describes LuThPtRh after structural relaxation. The functional is PBE-GGA.

Cell: 4.976 4.976 4.976 Å, 60.00 60.00 60.00°
Sites, in units of the cell vectors:
Lu 0.000 0.000 0.000
Th 0.500 0.500 0.500
Pt 0.250 0.250 0.250
Rh 0.750 0.750 0.750

Values from the calculation:
total energy = -29.279 eV per formula unit
energy of formation = -0.99 eV per atom
DOS(E_F) = 0.941 states/eV/atom

(10)
This record from Alexandria via LeMat-Bulk describes YSc2Mo after structural relaxation. The functional is PBE-GGA.

Cell: 5.347 5.347 5.347 Å, 129.45 129.45 74.29°
Sites, in units of the cell vectors:
Y 0.000 0.000 0.000
Sc 0.250 0.750 0.500
Sc 0.750 0.250 0.500
Mo 0.500 0.500 0.000

Values from the calculation:
total energy = -28.972 eV per formula unit
energy of formation = 0.25 eV per atom
DOS(E_F) = 1.233 states/eV/atom

(11)
This record from Alexandria via LeMat-Bulk describes AcLa2PuAs4 after structural relaxation. The functional is PBE-GGA.

Cell: 7.563 4.373 7.566 Å, 90.00 109.45 90.00°
Sites, in units of the cell vectors:
Ac 0.000 0.000 0.000
La 0.000 0.500 0.500
La 0.500 0.000 0.500
Pu 0.500 0.500 0.000
As 0.262 0.500 0.252
As 0.264 0.000 0.757
As 0.736 0.000 0.243
As 0.738 0.500 0.748

Values from the calculation:
total energy = -57.810 eV per formula unit
energy of formation = -1.36 eV per atom
DOS(E_F) = 1.963 states/eV/atom

(12)
This record from Alexandria via LeMat-Bulk describes CoPBr2 after structural relaxation. The functional is PBE-GGA.

Cell: 7.175 7.175 7.175 Å, 94.93 94.93 145.92°
Sites, in units of the cell vectors:
Co 0.000 0.000 0.000
Co 0.750 0.250 0.500
P 0.250 0.750 0.500
P 0.500 0.500 0.000
Br 0.375 0.189 0.314
Br 0.811 0.125 0.186
Br 0.875 0.061 0.686
Br 0.939 0.625 0.814

Values from the calculation:
total energy = -15.352 eV per formula unit
formation energy (no corrections) = 0.127 eV/atom
DOS(E_F) = 0.829 states/eV/atom

(13)
This record from Alexandria via LeMat-Bulk describes NaPuAgSb after structural relaxation. The functional is PBE-GGA.

Cell: 5.226 5.226 5.226 Å, 60.00 60.00 60.00°
Sites, in units of the cell vectors:
Na 0.000 0.000 0.000
Pu 0.500 0.500 0.500
Ag 0.750 0.750 0.750
Sb 0.250 0.250 0.250

Values from the calculation:
total energy = -23.571 eV per formula unit
formation energy (no corrections) = -0.237 eV/atom
DOS(E_F) = 3.516 states/eV/atom

(14)
This record from Alexandria via LeMat-Bulk describes HfBeCo4Si2 after structural relaxation. The functional is PBE-GGA.

Cell: 7.645 7.645 7.645 Å, 29.03 29.03 29.03°
Sites, in units of the cell vectors:
Hf 0.000 0.000 0.000
Be 0.500 0.500 0.500
Co 0.132 0.132 0.132
Co 0.401 0.401 0.401
Co 0.599 0.599 0.599
Co 0.868 0.868 0.868
Si 0.241 0.241 0.241
Si 0.759 0.759 0.759

Values from the calculation:
total energy = -57.382 eV per formula unit
formation energy (no corrections) = -0.554 eV/atom
DOS(E_F) = 0.570 states/eV/atom

(15)
This record from Alexandria via LeMat-Bulk describes Ac3Ir after structural relaxation. The functional is PBE-GGA.

Cell: 9.076 9.076 9.076 Å, 152.52 152.52 39.26°
Sites, in units of the cell vectors:
Ac 0.000 0.000 0.000
Ac 0.329 0.329 0.000
Ac 0.671 0.671 0.000
Ir 0.500 0.500 0.000

Values from the calculation:
total energy = -22.679 eV per formula unit
energy of formation = -0.37 eV per atom
DOS(E_F) = 1.110 states/eV/atom

(16)
This record from Alexandria via LeMat-Bulk describes SrReHg3 after structural relaxation. The functional is PBE-GGA.

Cell: 6.137 6.137 6.137 Å, 90.00 90.00 90.00°
Sites, in units of the cell vectors:
Sr 0.000 0.000 0.000
Re 0.500 0.500 0.500
Hg 0.000 0.000 0.500
Hg 0.000 0.500 0.000
Hg 0.500 0.000 0.000

Values from the calculation:
total energy = -7.319 eV per formula unit
energy of formation = 1.54 eV per atom
DOS(E_F) = 1.287 states/eV/atom

(17)
This record from Alexandria via LeMat-Bulk describes Ta2ZnMo after structural relaxation. The functional is PBE-GGA.

Cell: 5.098 5.098 5.098 Å, 139.40 127.59 68.33°
Sites, in units of the cell vectors:
Ta 0.241 0.241 0.000
Ta 0.759 0.759 0.000
Zn 0.500 0.000 0.500
Mo 0.000 0.500 0.500

Values from the calculation:
total energy = -35.549 eV per formula unit
energy of formation = 0.07 eV per atom
DOS(E_F) = 0.773 states/eV/atom